Ti3AsPt after structural relaxation. Source: Alexandria, functional PBE-GGA.

Summary:
Magnetic moment in μB per atom: 0.000
Raw total energy in hartree per atom: -0.251
ΔH_f (0 K) in eV per atom: 0.0481
Energy above the lowest structure with this stoichiometry in meV/atom: 0

Cell: 4.5942 4.5942 4.5942 Å, 90.00 90.00 90.00°
Element x y z (fractional)
Ti 0.0000 0.0000 0.5000
Ti 0.0000 0.5000 0.0000
Ti 0.5000 0.0000 0.0000
As 0.0000 0.0000 0.0000
Pt 0.5000 0.5000 0.5000